[1]
First-principles (meta-GGA SCAN) data for Tm6InCo2 at its PBEsol-relaxed geometry, as listed in Alexandria via LeMat-Bulk.

```
Tm6InCo2
1.0
-4.153 2.123 6.644
-4.700 0.112 -6.618
-6.033 -5.262 1.346
Co Tm In
4 12 2
Direct
0.500 0.387 0.113 Co
0.500 0.613 0.887 Co
0.377 0.000 0.623 Co
0.623 0.000 0.377 Co
0.698 0.013 0.685 Tm
0.302 0.987 0.315 Tm
0.476 0.288 0.812 Tm
0.100 0.288 0.188 Tm
0.900 0.712 0.812 Tm
0.788 0.768 0.445 Tm
0.302 0.617 0.685 Tm
0.212 0.232 0.555 Tm
0.788 0.232 0.980 Tm
0.698 0.383 0.315 Tm
0.212 0.768 0.020 Tm
0.524 0.712 0.188 Tm
0.000 0.500 0.500 In
0.000 0.000 0.000 In
```

Summary:
- Energy of formation: -0.30 eV/atom
- Spin magnetization: 0.00 μB per formula unit
- Total energy: -42.414 eV/atom
- V: 22.83 Å³ per atom
- Space group: Immm



[2]
First-principles (meta-GGA SCAN) data for TiIr3Ru at its PBEsol-relaxed geometry, as listed in Alexandria via LeMat-Bulk.

```
TiIr3Ru
1.0
-2.627 3.770 -0.122
-2.002 -1.519 -3.848
-3.197 -2.146 2.510
Ir Ti Ru
3 1 1
Direct
0.000 0.500 0.000 Ir
0.500 0.000 0.000 Ir
0.000 0.000 0.500 Ir
0.500 0.500 0.500 Ti
0.000 0.000 0.000 Ru
```

Summary:
- Energy of formation: 1.60 eV/atom
- Spin magnetization: 1.60 μB per formula unit
- Total energy: -51.230 eV/atom
- V: 19.42 Å³ per atom
- Space group: Pm-3m



[3]
First-principles (meta-GGA SCAN) data for KZn2Hg at its PBEsol-relaxed geometry, as listed in Alexandria via LeMat-Bulk.

```
KZn2Hg
1.0
-3.255 -2.000 -3.346
-1.690 -4.748 0.628
-4.831 -0.820 1.335
Zn K Hg
2 1 1
Direct
0.000 0.000 0.000 Zn
0.750 0.750 0.750 Zn
0.250 0.250 0.250 K
0.500 0.500 0.500 Hg
```

Summary:
- Energy of formation: 0.18 eV/atom
- Spin magnetization: 0.00 μB per formula unit
- Total energy: -25.705 eV/atom
- V: 23.15 Å³ per atom
- Space group: F-43m



[4]
First-principles (meta-GGA SCAN) data for MnPbBr2 at its PBEsol-relaxed geometry, as listed in Alexandria via LeMat-Bulk.

```
MnPbBr2
1.0
-1.474 -5.002 -0.032
2.740 -3.543 2.671
-2.014 -2.152 4.301
Br Mn Pb
2 1 1
Direct
0.750 0.750 0.750 Br
0.000 0.000 0.000 Br
0.500 0.500 0.500 Mn
0.250 0.250 0.250 Pb
```

Summary:
- E above lowest polymorph: 2.31 eV/f.u.
- Spin magnetization: 5.00 μB per formula unit
- Total energy: -33.196 eV/atom
- V: 25.06 Å³ per atom
- Space group: F-43m
- Formation energy (no corrections): 0.042 eV/atom



[5]
First-principles (meta-GGA SCAN) data for NaSbPO2 at its PBEsol-relaxed geometry, as listed in Alexandria via LeMat-Bulk.

```
NaSbPO2
1.0
-3.388 1.216 -1.823
-0.047 -3.397 -2.177
-2.673 -2.205 3.497
Sb O Na P
1 2 1 1
Direct
0.500 0.500 0.500 Sb
0.500 0.000 0.000 O
0.000 0.500 0.000 O
0.000 0.000 0.000 Na
0.000 0.000 0.500 P
```

Summary:
- Spin magnetization: 2.63 μB per formula unit
- Total energy: -12.324 eV/atom
- V: 16.03 Å³ per atom
- Space group: P4/mmm
- Formation energy (no corrections): 0.544 eV/atom



[6]
First-principles (meta-GGA SCAN) data for AlTc2BF at its PBEsol-relaxed geometry, as listed in Alexandria via LeMat-Bulk.

```
AlTc2BF
1.0
-1.677 -0.372 2.880
3.449 -2.638 1.669
2.081 3.797 1.702
Tc F B Al
2 1 1 1
Direct
0.000 0.000 0.500 Tc
0.000 0.500 0.000 Tc
0.500 0.000 0.000 F
0.500 0.500 0.500 B
0.000 0.000 0.000 Al
```

Summary:
- Spin magnetization: 4.40 μB per formula unit
- Total energy: -16.756 eV/atom
- V: 14.52 Å³ per atom
- Space group: P4/mmm
- Formation energy (no corrections): 1.013 eV/atom



[7]
First-principles (meta-GGA SCAN) data for Sc5Hg3 at its PBEsol-relaxed geometry, as listed in Alexandria via LeMat-Bulk.

```
Sc5Hg3
1.0
-2.568 4.735 -0.817
-6.158 -2.410 5.383
6.818 4.202 2.927
Sc Hg
10 6
Direct
0.250 0.238 0.238 Sc
0.250 0.000 0.762 Sc
0.500 0.333 0.667 Sc
0.000 0.667 0.333 Sc
0.000 0.333 0.667 Sc
0.750 0.000 0.238 Sc
0.500 0.667 0.333 Sc
0.250 0.762 0.000 Sc
0.750 0.238 0.000 Sc
0.750 0.762 0.762 Sc
0.250 0.603 0.603 Hg
0.750 0.000 0.603 Hg
0.250 0.000 0.397 Hg
0.750 0.397 0.397 Hg
0.750 0.603 0.000 Hg
0.250 0.397 0.000 Hg
```

Summary:
- Energy of formation: -0.55 eV/atom
- E above lowest polymorph: 0.00 eV/f.u.
- Spin magnetization: 0.85 μB per formula unit
- Total energy: -35.007 eV/atom
- V: 21.44 Å³ per atom
- Space group: P6_3/mcm



[8]
First-principles (meta-GGA SCAN) data for CaSc2Pb at its PBEsol-relaxed geometry, as listed in Alexandria via LeMat-Bulk.

```
CaSc2Pb
1.0
-0.007 3.574 0.595
-1.495 -0.827 4.946
6.065 -1.624 -1.206
Sc Ca Pb
2 1 1
Direct
0.221 0.221 0.442 Sc
0.779 0.779 0.558 Sc
0.000 0.500 0.000 Ca
0.500 0.000 0.000 Pb
```

Summary:
- Energy of formation: -0.30 eV/atom
- Spin magnetization: 0.00 μB per formula unit
- Total energy: -28.777 eV/atom
- V: 26.28 Å³ per atom
- Space group: Immm